# GaNi2W

A geometry-optimized GaNi2W structure (PBE, Alexandria via LeMat-Bulk).

Properties
As for the energy of formation from the pure elements: -151 meV per atom. The value obtained for the calculated volume is 12.88 A^3/atom.

a b c (Å): 2.729 2.729 6.915
angles (deg): 90.00 90.00 90.00
Element x y z (fractional)
1 W 0.500 0.500 0.500
2 Ni 0.000 0.000 0.765
3 Ga 0.500 0.500 0.000
4 Ni 0.000 0.000 0.235

=====

# GaNiW3

A geometry-optimized GaNiW3 structure (PBE, Alexandria via LeMat-Bulk).

Properties
As for the energy of formation from the pure elements: 1483 meV per atom. The value obtained for the calculated volume is 17.93 A^3/atom.

a b c (Å): 4.476 4.476 4.476
angles (deg): 90.00 90.00 90.00
Element x y z (fractional)
1 Ga 0.500 0.500 0.500
2 Ni 0.000 0.000 0.000
3 W 0.500 0.000 0.000
4 W 0.000 0.000 0.500
5 W 0.000 0.500 0.000

=====

# Ga2Ni8W

A geometry-optimized Ga2Ni8W structure (PBE, Alexandria via LeMat-Bulk).

Properties
As for the energy of formation from the pure elements: -63 meV per atom. The value obtained for the calculated volume is 12.50 A^3/atom.

a b c (Å): 3.777 6.162 6.162
angles (deg): 106.47 89.99 89.99
Element x y z (fractional)
1 Ga 0.000 0.373 0.627
2 Ni 0.500 0.245 0.755
3 Ni 0.000 0.701 0.961
4 Ni 0.000 0.039 0.299
5 Ni 0.500 0.333 0.333
6 W 0.500 0.000 0.000
7 Ni 0.000 0.961 0.701
8 Ni 0.500 0.755 0.245
9 Ga 0.000 0.627 0.373
10 Ni 0.500 0.667 0.667
11 Ni 0.000 0.299 0.039

=====

# Y6Ga2Ni

A geometry-optimized Y6Ga2Ni structure (PBE, Alexandria via LeMat-Bulk).

Properties
As for the energy of formation from the pure elements: -322 meV per atom. The value obtained for the calculated volume is 26.76 A^3/atom.

a b c (Å): 6.155 8.170 9.585
angles (deg): 90.00 87.80 90.00
Element x y z (fractional)
1 Ga 0.430 0.123 0.250
2 Ga 0.570 0.877 0.750
3 Ga 0.070 0.623 0.250
4 Y 0.118 0.032 0.760
5 Y 0.627 0.177 0.558
6 Ni 0.500 0.500 0.000
7 Y 0.366 0.824 0.058
8 Y 0.134 0.324 0.442
9 Y 0.618 0.468 0.260
10 Y 0.882 0.968 0.240
11 Y 0.382 0.532 0.740
12 Y 0.373 0.823 0.442
13 Y 0.634 0.176 0.942
14 Y 0.873 0.677 0.942
15 Y 0.127 0.323 0.058
16 Y 0.866 0.676 0.558
17 Ga 0.930 0.377 0.750
18 Ni 0.000 0.000 0.500

=====

# Y3Ga2Ni2

A geometry-optimized Y3Ga2Ni2 structure (PBE, Alexandria via LeMat-Bulk).

Properties
As for the energy of formation from the pure elements: -580 meV per atom. The value obtained for the calculated volume is 20.23 A^3/atom.

a b c (Å): 5.509 7.922 12.982
angles (deg): 90.00 90.00 90.00
Element x y z (fractional)
1 Ni 0.374 0.966 0.090
2 Y 0.358 0.245 0.250
3 Ni 0.374 0.534 0.910
4 Y 0.850 0.102 0.400
5 Ga 0.148 0.605 0.750
6 Ga 0.354 0.250 0.500
7 Y 0.850 0.398 0.600
8 Y 0.150 0.602 0.100
9 Y 0.642 0.745 0.250
10 Y 0.150 0.602 0.400
11 Y 0.850 0.102 0.100
12 Ni 0.626 0.034 0.590
13 Y 0.150 0.898 0.600
14 Ni 0.374 0.534 0.590
15 Ni 0.626 0.034 0.910
16 Ga 0.646 0.750 0.500
17 Ga 0.852 0.395 0.250
18 Ga 0.646 0.750 0.000
19 Y 0.642 0.755 0.750
20 Ni 0.626 0.466 0.410
21 Ni 0.374 0.966 0.410
22 Y 0.150 0.898 0.900
23 Ga 0.148 0.895 0.250
24 Y 0.358 0.255 0.750
25 Ga 0.354 0.250 0.000
26 Ni 0.626 0.466 0.090
27 Y 0.850 0.398 0.900
28 Ga 0.852 0.105 0.750

=====

# Y2Ga3Ni5

A geometry-optimized Y2Ga3Ni5 structure (PBE, Alexandria via LeMat-Bulk).

Properties
As for the energy of formation from the pure elements: -493 meV per atom. The value obtained for the calculated volume is 15.95 A^3/atom.

a b c (Å): 5.584 8.100 8.100
angles (deg): 75.35 69.84 69.84
Element x y z (fractional)
1 Ni 0.534 0.216 0.216
2 Ni 0.466 0.784 0.784
3 Ni 0.034 0.216 0.216
4 Ni 0.611 0.729 0.049
5 Ni 0.889 0.951 0.271
6 Ni 0.111 0.049 0.729
7 Y 0.370 0.864 0.396
8 Ga 0.750 0.000 0.000
9 Ga 0.641 0.463 0.255
10 Ga 0.141 0.255 0.463
11 Ni 0.750 0.500 0.500
12 Y 0.130 0.604 0.136
13 Ga 0.359 0.537 0.745
14 Ga 0.250 0.000 0.000
15 Ni 0.389 0.271 0.951
16 Y 0.630 0.136 0.604
17 Ni 0.250 0.500 0.500
18 Y 0.870 0.396 0.864
19 Ni 0.966 0.784 0.784
20 Ga 0.859 0.745 0.537

=====

# Y3GaNi3

A geometry-optimized Y3GaNi3 structure (PBE, Alexandria via LeMat-Bulk).

Properties
As for the energy of formation from the pure elements: -519 meV per atom. The value obtained for the calculated volume is 19.26 A^3/atom.

a b c (Å): 4.106 5.369 13.237
angles (deg): 90.00 90.00 112.48
Element x y z (fractional)
1 Y 0.504 0.007 0.250
2 Ni 0.923 0.846 0.590
3 Y 0.787 0.574 0.104
4 Ga 0.500 0.000 0.500
5 Ga 0.500 0.000 0.000
6 Ni 0.077 0.154 0.090
7 Ni 0.077 0.154 0.410
8 Y 0.213 0.426 0.896
9 Y 0.213 0.426 0.604
10 Ni 0.923 0.846 0.910
11 Y 0.787 0.574 0.396
12 Ni 0.207 0.413 0.250
13 Ni 0.793 0.587 0.750
14 Y 0.496 0.993 0.750

=====

# YGaNi3

A geometry-optimized YGaNi3 structure (PBE, Alexandria via LeMat-Bulk).

Properties
As for the energy of formation from the pure elements: 1219 meV per atom. The value obtained for the calculated volume is 21.14 A^3/atom.

a b c (Å): 4.728 4.728 4.728
angles (deg): 90.00 90.00 90.00
Element x y z (fractional)
1 Y 0.000 0.000 0.000
2 Ni 0.000 0.500 0.000
3 Ni 0.500 0.000 0.000
4 Ga 0.500 0.500 0.500
5 Ni 0.000 0.000 0.500

=====

# Y2Ga5Ni

A geometry-optimized Y2Ga5Ni structure (PBE, Alexandria via LeMat-Bulk).

Properties
As for the energy of formation from the pure elements: -474 meV per atom. The value obtained for the calculated volume is 19.69 A^3/atom.

a b c (Å): 6.074 6.074 6.074
angles (deg): 89.33 120.39 120.39
Element x y z (fractional)
1 Ga 0.000 0.253 0.253
2 Y 0.500 0.750 0.250
3 Y 0.500 0.250 0.750
4 Ga 0.439 0.718 0.718
5 Ni 0.000 0.973 0.973
6 Ga 0.561 0.279 0.279
7 Ga 0.000 0.279 0.718
8 Ga 0.000 0.718 0.279

=====

# YGa2Ni5

A geometry-optimized YGa2Ni5 structure (PBE, Alexandria via LeMat-Bulk).

Properties
As for the energy of formation from the pure elements: -368 meV per atom. The value obtained for the calculated volume is 14.29 A^3/atom.

a b c (Å): 3.644 6.054 6.054
angles (deg): 66.60 72.48 72.48
Element x y z (fractional)
1 Ni 0.000 0.500 0.500
2 Ni 0.634 0.554 0.179
3 Ni 0.366 0.821 0.446
4 Ni 0.366 0.446 0.821
5 Ni 0.634 0.179 0.554
6 Y 0.000 0.000 0.000
7 Ga 0.248 0.252 0.252
8 Ga 0.752 0.748 0.748

=====

# Y3GaNi3

A geometry-optimized Y3GaNi3 structure (PBE, Alexandria via LeMat-Bulk).

Properties
As for the energy of formation from the pure elements: -200 meV per atom. The value obtained for the calculated volume is 22.80 A^3/atom.

a b c (Å): 5.423 8.245 8.245
angles (deg): 120.00 90.00 90.00
Element x y z (fractional)
1 Ni 0.250 0.381 0.049
2 Ni 0.750 0.049 0.668
3 Y 0.250 0.664 0.954
4 Ni 0.750 0.332 0.381
5 Ga 0.750 0.333 0.667
6 Ni 0.750 0.619 0.951
7 Ga 0.250 0.667 0.333
8 Y 0.750 0.336 0.046
9 Y 0.250 0.290 0.336
10 Y 0.250 0.046 0.710
11 Ni 0.250 0.668 0.619
12 Y 0.750 0.954 0.290
13 Y 0.750 0.710 0.664
14 Ni 0.250 0.951 0.332

=====

# Y3Ga9Ni2

A geometry-optimized Y3Ga9Ni2 structure (PBE, Alexandria via LeMat-Bulk).

Properties
As for the energy of formation from the pure elements: -573 meV per atom. The value obtained for the calculated volume is 17.84 A^3/atom.

a b c (Å): 4.174 8.095 8.095
angles (deg): 74.95 75.06 75.06
Element x y z (fractional)
1 Ga 0.125 0.155 0.596
2 Y 0.000 0.000 0.000
3 Y 0.319 0.681 0.681
4 Ga 0.662 0.708 0.969
5 Ga 0.875 0.845 0.404
6 Ga 0.875 0.404 0.845
7 Ga 0.338 0.031 0.292
8 Ga 0.338 0.292 0.031
9 Ga 0.125 0.596 0.155
10 Ni 0.500 0.280 0.720
11 Ga 0.000 0.500 0.500
12 Ni 0.500 0.720 0.280
13 Y 0.681 0.319 0.319
14 Ga 0.662 0.969 0.708

=====

It is found that the uncorrected energy values, taken in the order of the records, are -28.1, -40.3, -65.9, -107.0, -164.3, -111.7, -86.8, -20.7, -37.6, -44.4, -82.3, -66.2 eV for the cell shown.
It is found that the theoretical density values, taken in the order of the records, are 11.96, 12.59, 9.57, 5.04, 6.14, 7.08, 6.31, 5.26, 6.17, 7.58, 5.33, 6.72 g/cm³.